# Rb2TlIBr4, relaxed, DFT GGA-PBE
data_Rb2TlIBr4
_chemical_formula_sum 'Rb8 Tl4 I4 Br16'
_cell_length_a 12.9415
_cell_length_b 15.4578
_cell_length_c 9.4862
_cell_angle_alpha 90.00
_cell_angle_beta 129.59
_cell_angle_gamma 90.00
_space_group_name_H-M_alt 'C 1 2/c 1'
_space_group_IT_number 15
loop_
_space_group_symop_operation_xyz
'x,y,z'
'-x,-y,-z'
'-x,y,-z+1/2'
'x,-y,z+1/2'
'x+1/2,y+1/2,z'
'-x+1/2,-y+1/2,-z'
'-x+1/2,y+1/2,-z+1/2'
'x+1/2,-y+1/2,z+1/2'
loop_
_atom_site_label
_atom_site_type_symbol
_atom_site_fract_x
_atom_site_fract_y
_atom_site_fract_z
_atom_site_occupancy
Rb1 Rb 0.0000 0.0000 0.0000 1
Rb2 Rb 0.2500 0.2500 0.0000 1
Tl1 Tl 0.0000 0.5000 0.0000 1
I1 I 0.2500 0.2500 0.5000 1
Br1 Br 0.0584 0.2700 0.5383 1
Br2 Br 0.2487 0.0347 0.9880 1
# formation energy from raw total energies = -1058 meV per atom